VASP calculation (PBE) on crystalline Nd5Ru2Cl2 at its relaxed geometry.

Results
Its spin magnetization is 0.00 Bohr magnetons per cell. As for the raw formation energy: -0.73 eV/atom.

Unit cell a=15.3292 b=8.0536 c=8.0255 alpha=90.00 beta=90.00 gamma=90.00
Space group Cmce (No. 64)
One atom of each set of equivalent atoms:
1 Nd 0.0000 0.0000 0.0000
2 Nd 0.1169 0.1567 0.3495
3 Ru 0.0000 0.1408 0.6412
4 Cl 0.2078 0.0000 0.0000



VASP calculation (PBE) on crystalline Ba2Al12Au7 at its relaxed geometry.

Results
Its spin magnetization is 0.00 Bohr magnetons per cell. The calculation puts the formation energy at -0.455 eV/atom.

Unit cell a=10.5724 b=10.5724 c=4.2674 alpha=90.00 beta=90.00 gamma=120.00
Space group P-6 (No. 174)
One atom of each set of equivalent atoms:
1 Ba 0.0000 0.0000 0.0000
2 Ba 0.3333 0.6667 0.5000
3 Al 0.0306 0.2749 0.5000
4 Al 0.1095 0.7169 0.0000
5 Al 0.3827 0.1908 0.0000
6 Al 0.5485 0.4286 0.5000
7 Au 0.0537 0.4372 0.0000
8 Au 0.2654 0.2422 0.5000
9 Au 0.6667 0.3333 0.0000